Entry from Alexandria via LeMat-Bulk: crystalline SrPrMnO4 at its relaxed geometry (PBE with a Hubbard U).

- calculated volume (Å³/cell) = 192.2
- electronic total energy (eV for the cell shown) = -103.63

Lattice parameters (Å, degrees): 3.8690 3.8690 12.8391 90.00 90.00 90.00
Space group I4mm (No. 107)
Inequivalent atoms, fractional coordinates:
Sr  0.0000  0.0000  0.0000 (multiplicity 2)
Pr  0.0000  0.0000  0.2863 (multiplicity 2)
Mn  0.0000  0.0000  0.6415 (multiplicity 2)
O  0.0000  0.0000  0.4689 (multiplicity 2)
O  0.0000  0.0000  0.8121 (multiplicity 2)
O  0.0000  0.5000  0.1522 (multiplicity 4)